Record 1
TbThFePd | PBE-GGA | relaxed

```
data_TbThFePd
_symmetry_space_group_name_H-M 'F -4 3 m'
_symmetry_Int_Tables_number 216
_symmetry_space_group_name_Hall 'F -4 2 3'
_cell_length_a 7.0323
_cell_length_b 7.0323
_cell_length_c 7.0323
_cell_angle_alpha 90.00
_cell_angle_beta 90.00
_cell_angle_gamma 90.00
loop_
_atom_site_label
_atom_site_type_symbol
_atom_site_fract_x
_atom_site_fract_y
_atom_site_fract_z
_atom_site_occupancy
Tb1 Tb 0.0000 0.0000 0.0000 1
Th1 Th 0.0000 0.0000 0.5000 1
Fe1 Fe 0.2500 0.2500 0.2500 1
Pd1 Pd 0.2500 0.2500 0.7500 1
```

Record 2
TbTmFePd | PBE-GGA | relaxed

```
data_TbTmFePd
_symmetry_space_group_name_H-M 'F -4 3 m'
_symmetry_Int_Tables_number 216
_symmetry_space_group_name_Hall 'F -4 2 3'
_cell_length_a 6.8242
_cell_length_b 6.8242
_cell_length_c 6.8242
_cell_angle_alpha 90.00
_cell_angle_beta 90.00
_cell_angle_gamma 90.00
loop_
_atom_site_label
_atom_site_type_symbol
_atom_site_fract_x
_atom_site_fract_y
_atom_site_fract_z
_atom_site_occupancy
Tb1 Tb 0.0000 0.0000 0.0000 1
Tm1 Tm 0.0000 0.0000 0.5000 1
Fe1 Fe 0.2500 0.2500 0.2500 1
Pd1 Pd 0.2500 0.2500 0.7500 1
```

Record 3
TbYFePd | PBE-GGA | relaxed

```
data_TbYFePd
_symmetry_space_group_name_H-M 'F -4 3 m'
_symmetry_Int_Tables_number 216
_symmetry_space_group_name_Hall 'F -4 2 3'
_cell_length_a 6.9011
_cell_length_b 6.9011
_cell_length_c 6.9011
_cell_angle_alpha 90.00
_cell_angle_beta 90.00
_cell_angle_gamma 90.00
loop_
_atom_site_label
_atom_site_type_symbol
_atom_site_fract_x
_atom_site_fract_y
_atom_site_fract_z
_atom_site_occupancy
Tb1 Tb 0.0000 0.0000 0.0000 1
Y1 Y 0.0000 0.0000 0.5000 1
Fe1 Fe 0.2500 0.2500 0.7500 1
Pd1 Pd 0.2500 0.2500 0.2500 1
```

no.,calculated total energy (eV/atom),ΔH_f (0 K) (meV per atom)
1,-6.705,-279
2,-6.021,-331
3,-6.479,-292